[1]
Computed, not measured: crystalline MgIn2Rh at its relaxed geometry at the GGA-PBEsol level of DFT.

Calculated values
symmetry = I-4m2
magnetic moment = 0.00 μB/f.u.
theoretical density = 8.18 Mg/m³
energy relative to the elements = -0.234 eV per atom

a = 4.112 Å, b = 4.117 Å, c = 5.174 Å
α = 113.44°, β = 113.41°, γ = 90.00°
Fractional positions:
Rh: 0.250 0.750 0.500
Mg: 0.500 0.500 0.000
In: 0.750 0.250 0.500
In: 0.000 0.000 0.000


[2]
Computed, not measured: crystalline YCr2P at its relaxed geometry at the GGA-PBEsol level of DFT.

Calculated values
symmetry = Immm
magnetic moment = 5.08 μB/f.u.
theoretical density = 5.67 Mg/m³
energy relative to the elements = 0.153 eV per atom

a = 3.129 Å, b = 4.770 Å, c = 5.239 Å
α = 117.08°, β = 107.37°, γ = 90.00°
Last column: magnetic moment on the atom in μB.
Fractional positions:
Cr: 0.201 0.201 0.401  2.37
Cr: 0.799 0.799 0.599  2.37
P: 0.500 0.000 0.000  -0.08
Y: 0.000 0.500 0.000  0.09


[3]
Computed, not measured: crystalline HfIn3Ag at its relaxed geometry at the GGA-PBEsol level of DFT.

Calculated values
symmetry = Pm-3m
magnetic moment = 0.00 μB/f.u.
theoretical density = 8.03 Mg/m³
energy relative to the elements = 0.701 eV per atom

a = 5.072 Å, b = 5.072 Å, c = 5.072 Å
α = 90.00°, β = 90.00°, γ = 90.00°
Fractional positions:
In: 0.000 0.000 0.500
In: 0.500 0.000 0.000
In: 0.000 0.500 0.000
Ag: 0.000 0.000 0.000
Hf: 0.500 0.500 0.500


[4]
Computed, not measured: crystalline CaAg2Sb at its relaxed geometry at the GGA-PBEsol level of DFT.

Calculated values
E_form (uncorrected) = -0.229 eV per atom
symmetry = P4/mmm
magnetic moment = 0.00 μB/f.u.
theoretical density = 7.10 Mg/m³

a = 3.799 Å, b = 3.799 Å, c = 6.116 Å
α = 90.00°, β = 90.00°, γ = 90.00°
Fractional positions:
Ca: 0.500 0.500 0.000
Ag: 0.000 0.000 0.750
Ag: 0.000 0.000 0.250
Sb: 0.500 0.500 0.500


[5]
Computed, not measured: crystalline RbBrN3 at its relaxed geometry at the GGA-PBEsol level of DFT.

Calculated values
E_form (uncorrected) = 2.106 eV per atom
symmetry = Pm-3m
magnetic moment = 3.05 μB/f.u.
theoretical density = 4.64 Mg/m³

a = 4.202 Å, b = 4.202 Å, c = 4.202 Å
α = 90.00°, β = 90.00°, γ = 90.00°
Last column: magnetic moment on the atom in μB.
Fractional positions:
N: 0.000 0.500 0.000  0.74
N: 0.000 0.000 0.500  0.74
N: 0.500 0.000 0.000  0.74
Rb: 0.500 0.500 0.500  0.02
Br: 0.000 0.000 0.000  -0.13


[6]
Computed, not measured: crystalline CaHfH3 at its relaxed geometry at the GGA-PBEsol level of DFT.

Calculated values
final energy = -0.350 Ry/atom
symmetry = Pm-3m
magnetic moment = 0.00 μB/f.u.
theoretical density = 6.23 Mg/m³

a = 3.894 Å, b = 3.894 Å, c = 3.894 Å
α = 90.00°, β = 90.00°, γ = 90.00°
Fractional positions:
H: 0.000 0.000 0.500
H: 0.500 0.000 0.000
H: 0.000 0.500 0.000
Ca: 0.500 0.500 0.500
Hf: 0.000 0.000 0.000


[7]
Computed, not measured: crystalline YNbSe2N at its relaxed geometry at the GGA-PBEsol level of DFT.

Calculated values
E_form (uncorrected) = -0.790 eV per atom
symmetry = P4/mmm
magnetic moment = 0.00 μB/f.u.
theoretical density = 5.79 Mg/m³

a = 3.909 Å, b = 5.095 Å, c = 5.095 Å
α = 90.00°, β = 90.00°, γ = 90.00°
Fractional positions:
Nb: 0.000 0.000 0.000
Y: 0.500 0.500 0.500
N: 0.500 0.000 0.000
Se: 0.000 0.500 0.000
Se: 0.000 0.000 0.500


[8]
Computed, not measured: crystalline TbCdPd2 at its relaxed geometry at the GGA-PBEsol level of DFT.

Calculated values
symmetry = Fm-3m
magnetic moment = 0.00 μB/f.u.
theoretical density = 10.85 Mg/m³
energy relative to the elements = -0.711 eV per atom

a = 4.715 Å, b = 4.715 Å, c = 4.715 Å
α = 60.00°, β = 60.00°, γ = 60.00°
Fractional positions:
Pd: 0.750 0.750 0.750
Pd: 0.250 0.250 0.250
Tb: 0.000 0.000 0.000
Cd: 0.500 0.500 0.500


Q: What is the magnetic moment in the eighth record?
A: 0.00 μB/f.u.